(1)
## NaSrSmSn (GGA-PBE)

Data for a geometry-optimized NaSrSmSn structure.

## Properties
The calculation puts the total energy at -12.928 eV/f.u. As for the space group: F-43m, No. 216. The value obtained for the total magnetic moment is 0.00 μB/atom.

a b c (Å): 7.934 7.934 7.934
angles (deg): 90.00 90.00 90.00
Fractional coordinates of all 16 atoms:
Na  0.000  0.000  0.000
Na  0.000  0.500  0.500
Na  0.500  0.000  0.500
Na  0.500  0.500  0.000
Sr  0.250  0.250  0.250
Sr  0.250  0.750  0.750
Sr  0.750  0.250  0.750
Sr  0.750  0.750  0.250
Sm  0.250  0.250  0.750
Sm  0.250  0.750  0.250
Sm  0.750  0.250  0.250
Sm  0.750  0.750  0.750
Sn  0.000  0.000  0.500
Sn  0.000  0.500  0.000
Sn  0.500  0.000  0.000
Sn  0.500  0.500  0.500

***

(2)
## CdIr2Ru (GGA-PBE)

Data for a geometry-optimized CdIr2Ru structure.

## Properties
The calculation puts the total energy at -26.803 eV/f.u. As for the space group: Cmmm, No. 65. The value obtained for the total magnetic moment is 0.00 μB/atom.

a b c (Å): 5.540 8.074 2.771
angles (deg): 90.00 90.00 90.00
Fractional coordinates of all 8 atoms:
Cd  0.000  0.000  0.000
Cd  0.500  0.500  0.000
Ir  0.250  0.250  0.500
Ir  0.250  0.750  0.500
Ir  0.750  0.250  0.500
Ir  0.750  0.750  0.500
Ru  0.000  0.500  0.000
Ru  0.500  0.000  0.000

***

(3)
## Nd3AlPt8 (GGA-PBE)

Data for a geometry-optimized Nd3AlPt8 structure.

## Properties
The calculation puts the total energy at -77.721 eV/f.u. As for the space group: R3m, No. 160. The value obtained for the total magnetic moment is 0.00 μB/atom.

a b c (Å): 9.478 9.478 9.478
angles (deg): 33.71 33.71 33.71
Fractional coordinates of all 12 atoms:
Nd  0.000  0.000  0.000
Nd  0.131  0.131  0.131
Nd  0.610  0.610  0.610
Al  0.472  0.472  0.472
Pt  0.058  0.562  0.562
Pt  0.060  0.060  0.564
Pt  0.060  0.564  0.060
Pt  0.311  0.311  0.311
Pt  0.562  0.058  0.562
Pt  0.562  0.562  0.058
Pt  0.564  0.060  0.060
Pt  0.812  0.812  0.812

***

(4)
## Ba3Sr4Ca4 (GGA-PBE)

Data for a geometry-optimized Ba3Sr4Ca4 structure.

## Properties
The calculation puts the total energy at -19.319 eV/f.u. As for the space group: Amm2, No. 38. As for the excess energy over the best structure of this formula in the dataset: 0.078 eV/atom. The value obtained for the total magnetic moment is 0.00 μB/atom.

a b c (Å): 12.753 7.919 7.919
angles (deg): 49.15 90.00 90.00
Fractional coordinates of all 11 atoms:
Ba  0.000  0.000  0.000
Ba  0.270  0.177  0.177
Ba  0.730  0.177  0.177
Sr  0.000  0.695  0.695
Sr  0.228  0.499  0.499
Sr  0.500  0.658  0.658
Sr  0.772  0.499  0.499
Ca  0.000  0.330  0.330
Ca  0.283  0.854  0.854
Ca  0.500  0.367  0.367
Ca  0.717  0.854  0.854

***

Number 1: density 5.1 g/cm3, ΔH_f (0 K) -29.1 kJ/mol of atoms. Number 2: density 16.0 g/cm3, ΔH_f (0 K) 26.8 kJ/mol of atoms. Number 3: density 14.4 g/cm3, ΔH_f (0 K) -91.2 kJ/mol of atoms. Number 4: density 2.5 g/cm3, ΔH_f (0 K) 10.4 kJ/mol of atoms.